# 1
# Th4HgBi PBE relaxed
# volume	31.3	A^3/atom
# calculated density	11.83	g/cm3
# E_tot	-70.6	eV per cell
# ΔE_f	-241	meV/atom
data_Th4HgBi
_chemical_formula_sum 'Th8 Hg2 Bi2'
_space_group_name_H-M_alt 'P 4/m c c'
_space_group_IT_number 124
_space_group_name_Hall '-P 4 2c'
_cell_length_a 7.6888
_cell_length_b 7.6888
_cell_length_c 6.3527
_cell_angle_alpha 90.00
_cell_angle_beta 90.00
_cell_angle_gamma 90.00
loop_
_atom_site_label
_atom_site_type_symbol
_atom_site_fract_x
_atom_site_fract_y
_atom_site_fract_z
Th1 Th 0.1470 0.3432 0.0000
Hg1 Hg 0.0000 0.0000 0.2500
Bi1 Bi 0.5000 0.5000 0.2500

# 2
# Th2HgBi PBE relaxed
# volume	32.8	A^3/atom
# calculated density	11.04	g/cm3
# E_tot	-60.6	eV per cell
# ΔE_f	-293	meV/atom
data_Th2HgBi
_chemical_formula_sum 'Th6 Hg3 Bi3'
_space_group_name_H-M_alt 'R -3 m'
_space_group_IT_number 166
_space_group_name_Hall '-R 3 2"'
_cell_length_a 4.4349
_cell_length_b 4.4349
_cell_length_c 23.1404
_cell_angle_alpha 90.00
_cell_angle_beta 90.00
_cell_angle_gamma 120.00
loop_
_atom_site_label
_atom_site_type_symbol
_atom_site_fract_x
_atom_site_fract_y
_atom_site_fract_z
Th1 Th 0.0000 0.0000 0.2466
Hg1 Hg 0.0000 0.0000 0.5000
Bi1 Bi 0.0000 0.0000 0.0000

# 3
# Th2HgBi PBE relaxed
# volume	29.6	A^3/atom
# calculated density	12.24	g/cm3
# E_tot	-80.5	eV per cell
# ΔE_f	-275	meV/atom
data_Th2HgBi
_chemical_formula_sum 'Th8 Hg4 Bi4'
_space_group_name_H-M_alt 'F m -3 m'
_space_group_IT_number 225
_space_group_name_Hall '-F 4 2 3'
_cell_length_a 7.7976
_cell_length_b 7.7976
_cell_length_c 7.7976
_cell_angle_alpha 90.00
_cell_angle_beta 90.00
_cell_angle_gamma 90.00
loop_
_atom_site_label
_atom_site_type_symbol
_atom_site_fract_x
_atom_site_fract_y
_atom_site_fract_z
Th1 Th 0.2500 0.2500 0.2500
Hg1 Hg 0.0000 0.0000 0.0000
Bi1 Bi 0.0000 0.0000 0.5000

# 4
# Th4HgBi2 PBE relaxed
# volume	33.8	A^3/atom
# calculated density	10.84	g/cm3
# E_tot	-77.8	eV per cell
# ΔE_f	-165	meV/atom
data_Th4HgBi2
_chemical_formula_sum 'Th8 Hg2 Bi4'
_space_group_name_H-M_alt 'C 1 2/m 1'
_space_group_IT_number 12
_cell_length_a 16.3077
_cell_length_b 4.1148
_cell_length_c 7.9515
_cell_angle_alpha 90.00
_cell_angle_beta 117.38
_cell_angle_gamma 90.00
loop_
_space_group_symop_operation_xyz
'x,y,z'
'-x,-y,-z'
'-x,y,-z'
'x,-y,z'
'x+1/2,y+1/2,z'
'-x+1/2,-y+1/2,-z'
'-x+1/2,y+1/2,-z'
'x+1/2,-y+1/2,z'
loop_
_atom_site_label
_atom_site_type_symbol
_atom_site_fract_x
_atom_site_fract_y
_atom_site_fract_z
Th1 Th 0.1012 0.0000 0.2429
Th2 Th 0.1152 0.5000 0.8431
Hg1 Hg 0.0000 0.0000 0.5000
Bi1 Bi 0.2343 0.0000 0.7111